LiNiGe2O6: relaxed, PBE+U.

```
LiNiGe2O6
1.0
5.2578 -0.2994 -0.3107
1.3016 6.3584 0.3212
1.3016 0.0853 6.3659
Li Ni Ge O
2 2 4 12
Cartesian
2.6161 1.6909 4.6690
5.2449 4.4534 1.7074
2.6161 5.6857 0.8196
5.2449 0.4586 5.5568
2.9312 5.0470 4.0618
2.3009 2.4221 1.3377
4.9298 1.0973 2.3146
5.5600 3.7222 5.0387
2.9832 6.2134 5.4060
2.2489 1.1220 0.1223
4.8778 -0.0691 0.9704
5.6121 5.0223 6.2542
3.5636 5.4867 2.4885
1.6685 4.0105 0.9566
4.2974 0.6576 3.8879
6.1925 2.1338 5.4198
6.4685 4.2646 3.5849
4.0214 2.5703 1.8265
1.3925 1.8797 2.7915
3.8396 3.5741 4.5499
```

Energy: -5.7906 eV/atom
Total magnetic moment: 6.07 μB/cell